Record 1
SrTePbN2 at its PBEsol-relaxed geometry. Source: the Alexandria database, functional SCAN.

Cell lengths 4.7509, 4.7509, 6.3497 Å; angles 90.00, 90.00, 90.00 degrees
Space group P4/mmm (No. 123)
One atom of each set of equivalent atoms:
Sr: 0.0000 0.0000 0.0000 (multiplicity 1)
Te: 0.0000 0.0000 0.5000 (multiplicity 1)
Pb: 0.5000 0.5000 0.5000 (multiplicity 1)
N: 0.0000 0.5000 0.0000 (multiplicity 2)

Properties
Formation energy (no corrections) (meV/atom): 956

Record 2
Li2ZnIn at its PBEsol-relaxed geometry. Source: the Alexandria database, functional SCAN.

Cell lengths 4.0507, 4.0507, 8.2323 Å; angles 90.00, 90.00, 90.00 degrees
Space group I4/mmm (No. 139)
One atom of each set of equivalent atoms:
Li: 0.0000 0.5000 0.2500 (multiplicity 4)
Zn: 0.0000 0.0000 0.0000 (multiplicity 2)
In: 0.0000 0.0000 0.5000 (multiplicity 2)

Properties
DFT formation energy (eV per atom): -0.255

Record 3
Ta2Ni3S8 at its PBEsol-relaxed geometry. Source: the Alexandria database, functional SCAN.

Cell lengths 10.1135, 14.0151, 3.2960 Å; angles 90.00, 90.00, 90.00 degrees
Space group Pbam (No. 55)
One atom of each set of equivalent atoms:
Ta: 0.1916 0.1230 0.0000 (multiplicity 4)
Ni: 0.0000 0.0000 0.5000 (multiplicity 2)
Ni: 0.1437 0.7314 0.5000 (multiplicity 4)
S: 0.0165 0.1557 0.5000 (multiplicity 4)
S: 0.0708 0.6387 0.0000 (multiplicity 4)
S: 0.2163 0.9954 0.5000 (multiplicity 4)
S: 0.2343 0.2917 0.0000 (multiplicity 4)

Properties
Formation energy (no corrections) (meV/atom): -844

Record 4
Al2OsO at its PBEsol-relaxed geometry. Source: the Alexandria database, functional SCAN.

Cell lengths 5.6756, 5.6756, 6.4399 Å; angles 90.00, 90.00, 90.00 degrees
Space group I-42d (No. 122)
One atom of each set of equivalent atoms:
Al: 0.1631 0.2500 0.1250 (multiplicity 8)
Os: 0.0000 0.0000 0.5000 (multiplicity 4)
O: 0.0000 0.0000 0.0000 (multiplicity 4)

Properties
Formation energy (no corrections) (meV/atom): -847

Record 5
Ca3Al2Ge3O12 at its PBEsol-relaxed geometry. Source: the Alexandria database, functional SCAN.

Cell lengths 12.1110, 12.1110, 12.1110 Å; angles 90.00, 90.00, 90.00 degrees
Space group Ia-3d (No. 230)
One atom of each set of equivalent atoms:
Ca: 0.0000 0.2500 0.1250 (multiplicity 24)
Al: 0.0000 0.0000 0.0000 (multiplicity 16)
Ge: 0.0000 0.2500 0.3750 (multiplicity 24)
O: 0.0326 0.0485 0.6476 (multiplicity 96)

Properties
Formation energy (no corrections) (meV/atom): -2797

Record 6
BaZnRh2 at its PBEsol-relaxed geometry. Source: the Alexandria database, functional SCAN.

Cell lengths 6.7173, 6.7173, 6.7173 Å; angles 90.00, 90.00, 90.00 degrees
Space group F-43m (No. 216)
One atom of each set of equivalent atoms:
Ba: 0.0000 0.0000 0.0000 (multiplicity 4)
Zn: 0.2500 0.2500 0.7500 (multiplicity 4)
Rh: 0.0000 0.0000 0.5000 (multiplicity 4)
Rh: 0.2500 0.2500 0.2500 (multiplicity 4)

Properties
DFT formation energy (eV per atom): 0.430

no.,E (eV/atom)
1,-29.822
2,-13.175
3,-20.745
4,-24.251
5,-11.624
6,-29.722